Entry 1:
A relaxed LaAl2Cu crystal. Source: the Alexandria database, functional PBE.

abc: 4.846 4.846 4.846
angles: 121.63 117.60 90.71
Fractional positions:
Al (0.983, 0.983, 0.000)
Cu (0.525, 0.525, 0.000)
Al (0.744, 0.244, 0.500)
La (0.248, 0.748, 0.500)

Results
Its size of the total moment is 0.0 μB per cell. The calculation puts the calculated volume at 80.8 Å³ per cell. The value obtained for the formation energy from the elements is -20.7 kJ/mol of atoms. The calculation puts the density of states at the Fermi level at 1.52 states/eV/f.u.

***

Entry 2:
A relaxed La2AlCu crystal. Source: the Alexandria database, functional PBE.

abc: 8.375 8.375 6.673
angles: 51.13 51.13 90.00
Fractional positions:
Al (0.500, 0.500, 0.000)
La (0.875, 0.924, 0.750)
La (0.375, 0.326, 0.750)
Al (0.250, 0.750, 0.500)
La (0.674, 0.125, 0.250)
Cu (0.000, 0.000, 0.000)
Cu (0.750, 0.250, 0.500)
La (0.076, 0.625, 0.250)

Results
Its size of the total moment is 0.0 μB per cell. The calculation puts the calculated volume at 215.7 Å³ per cell. The value obtained for the formation energy from the elements is 6.5 kJ/mol of atoms. The calculation puts the density of states at the Fermi level at 3.43 states/eV/f.u.

***

Please write out number 2 again, unchanged.
A relaxed La2AlCu crystal. Source: the Alexandria database, functional PBE.

abc: 8.375 8.375 6.673
angles: 51.13 51.13 90.00
Fractional positions:
Al (0.500, 0.500, 0.000)
La (0.875, 0.924, 0.750)
La (0.375, 0.326, 0.750)
Al (0.250, 0.750, 0.500)
La (0.674, 0.125, 0.250)
Cu (0.000, 0.000, 0.000)
Cu (0.750, 0.250, 0.500)
La (0.076, 0.625, 0.250)

Results
Its size of the total moment is 0.0 μB per cell. The calculation puts the calculated volume at 215.7 Å³ per cell. The value obtained for the formation energy from the elements is 6.5 kJ/mol of atoms. The calculation puts the density of states at the Fermi level at 3.43 states/eV/f.u.

***

Question: Number 1 is which compound?
Answer: LaAl2Cu